Density functional theory data (GGA-PBE) for Be2ReHg after structural relaxation.

Values from the calculation:
Symmetry: P4/mmm (123)
Crystal system: tetragonal

Cell lengths 4.0315, 4.0315, 3.1314 Å; angles 90.00, 90.00, 90.00 degrees
With the nearest neighbours (Å) after each atom.
Positions (direct):
Be 0.5000 0.5000 0.0000  4 Hg 2.55, 4 Re 2.55, 4 Be 2.85
Be 0.0000 0.0000 0.0000  4 Re 2.55, 4 Hg 2.55, 4 Be 2.85
Hg 0.5000 0.0000 0.5000  8 Be 2.55, 4 Re 2.85
Re 0.0000 0.5000 0.5000  8 Be 2.55, 4 Hg 2.85

Density functional theory data (GGA-PBE) for KNa2AlGa after structural relaxation.

Values from the calculation:
Symmetry: P4/mmm (123)
Crystal system: tetragonal
Excess energy over the best structure of this formula in the dataset, kJ/mol of formula units: 15

Cell lengths 5.9103, 5.9103, 4.9753 Å; angles 90.00, 90.00, 90.00 degrees
With the nearest neighbours (Å) after each atom.
Positions (direct):
Na 0.0000 0.5000 0.0000  2 Al 2.96
Na 0.5000 0.0000 0.0000  2 Al 2.96
K 0.5000 0.5000 0.5000  8 Na 3.86, 4 Ga 4.18
Al 0.0000 0.0000 0.0000  2 Ga 2.49
Ga 0.0000 0.0000 0.5000  2 Al 2.49

| no. | M_tot (μB per formula unit) | calculated formation energy (eV per atom) |
| --- | --- | --- |
| 1 | 0.000 | 0.3316 |
| 2 | 0.000 | 0.1456 |